--- a ---
First-principles (GGA-PBE) data for crystalline ZnCuSiW at its relaxed geometry, as listed in the Open Quantum Materials Database.

Lattice parameters (Å, degrees): 4.2636 4.2636 4.2636 60.00 60.00 60.00
Atoms (fractional coordinates):
Zn 0.5000 0.5000 0.5000
Cu 0.7500 0.7500 0.7500
Si 0.0000 0.0000 0.0000
W 0.2500 0.2500 0.2500

Crystal system: cubic
V in Å³/atom: 13.70

--- b ---
First-principles (GGA-PBE) data for crystalline ZnCuSiW at its relaxed geometry, as listed in the Open Quantum Materials Database.

Lattice parameters (Å, degrees): 4.3050 4.3050 4.3050 60.00 60.00 60.00
Atoms (fractional coordinates):
Zn 0.2500 0.2500 0.2500
Cu 0.7500 0.7500 0.7500
W 0.5000 0.5000 0.5000
Si 0.0000 0.0000 0.0000

Crystal system: cubic
V in Å³/atom: 14.10

What should be chosen as the most stable of them? Choose a.

--- a ---
First-principles (GGA-PBE) data for crystalline SmCuSnTe3 at its relaxed geometry, as listed in the Open Quantum Materials Database.

Lattice parameters (Å, degrees): 8.6531 4.2888 10.3396 90.00 103.86 90.00
Atoms (fractional coordinates):
Sn 0.2884 0.7500 0.7086
Sn 0.7116 0.2500 0.2914
Te 0.0828 0.2500 0.8480
Te 0.5561 0.2500 0.8391
Te 0.7443 0.7500 0.5263
Te 0.2557 0.2500 0.4737
Te 0.4439 0.7500 0.1609
Te 0.9172 0.7500 0.1520
Cu 0.4278 0.7500 0.4175
Cu 0.5722 0.2500 0.5825
Sm 0.1848 0.2500 0.1655
Sm 0.8152 0.7500 0.8345

Crystal system: monoclinic
V in Å³/atom: 31.05

--- b ---
First-principles (GGA-PBE) data for crystalline SmCuSnTe3 at its relaxed geometry, as listed in the Open Quantum Materials Database.

Lattice parameters (Å, degrees): 7.5799 7.5799 11.3695 90.00 90.00 32.82
Atoms (fractional coordinates):
Sm 0.0000 0.0000 0.5000
Sm 0.0000 0.0000 0.0000
Te 0.6471 0.6471 0.5710
Te 0.3529 0.3529 0.4290
Te 0.0861 0.0861 0.2500
Te 0.9139 0.9139 0.7500
Te 0.6471 0.6471 0.9290
Te 0.3529 0.3529 0.0710
Sn 0.2348 0.2348 0.7500
Sn 0.7652 0.7652 0.2500
Cu 0.4714 0.4714 0.2500
Cu 0.5286 0.5286 0.7500

Crystal system: orthorhombic
V in Å³/atom: 29.51

What should be chosen as the most stable of them? Choose b.

--- a ---
First-principles (GGA-PBE) data for crystalline ZnCuTcSn at its relaxed geometry, as listed in the Open Quantum Materials Database.

Lattice parameters (Å, degrees): 4.4468 4.4468 4.4468 60.00 60.00 60.00
Atoms (fractional coordinates):
Zn 0.2500 0.2500 0.2500
Sn 0.0000 0.0000 0.0000
Cu 0.7500 0.7500 0.7500
Tc 0.5000 0.5000 0.5000

Crystal system: cubic
V in Å³/atom: 15.54

--- b ---
First-principles (GGA-PBE) data for crystalline ZnCuTcSn at its relaxed geometry, as listed in the Open Quantum Materials Database.

Lattice parameters (Å, degrees): 4.4494 4.4494 4.4494 60.00 60.00 60.00
Atoms (fractional coordinates):
Sn 0.0000 0.0000 0.0000
Tc 0.2500 0.2500 0.2500
Cu 0.7500 0.7500 0.7500
Zn 0.5000 0.5000 0.5000

Crystal system: cubic
V in Å³/atom: 15.57

What should be chosen as the most stable of them? Choose b.

--- a ---
First-principles (GGA-PBE) data for crystalline TlCuSnTe3 at its relaxed geometry, as listed in the Open Quantum Materials Database.

Lattice parameters (Å, degrees): 9.1835 9.1835 9.4035 103.54 103.54 27.72
Atoms (fractional coordinates):
Cu 0.4954 0.4954 0.3037
Cu 0.5046 0.5046 0.6963
Te 0.3468 0.3468 0.2000
Te 0.6532 0.6532 0.8000
Te 0.6478 0.6478 0.3443
Te 0.0000 0.0000 0.5000
Te 0.5000 0.5000 0.0000
Te 0.3522 0.3522 0.6557
Sn 0.8254 0.8254 0.4127
Sn 0.1746 0.1746 0.5873
Tl 0.8555 0.8555 0.9298
Tl 0.1445 0.1445 0.0702

Crystal system: monoclinic
V in Å³/atom: 29.83

--- b ---
First-principles (GGA-PBE) data for crystalline TlCuSnTe3 at its relaxed geometry, as listed in the Open Quantum Materials Database.

Lattice parameters (Å, degrees): 4.4055 12.0482 13.2990 90.00 90.00 90.00
Atoms (fractional coordinates):
Sn 0.2500 0.0131 0.2494
Sn 0.2500 0.5131 0.2506
Sn 0.7500 0.9869 0.7506
Sn 0.7500 0.4869 0.7494
Te 0.2500 0.9485 0.5967
Te 0.2500 0.7609 0.2765
Te 0.2500 0.5356 0.5933
Te 0.2500 0.4485 0.9033
Te 0.7500 0.9644 0.0933
Te 0.7500 0.4644 0.4067
Te 0.7500 0.5515 0.0967
Te 0.2500 0.0356 0.9067
Te 0.7500 0.2391 0.7235
Te 0.7500 0.7391 0.7765
Te 0.7500 0.0515 0.4033
Te 0.2500 0.2609 0.2235
Cu 0.2500 0.7408 0.6639
Cu 0.7500 0.7592 0.1639
Cu 0.7500 0.2592 0.3361
Cu 0.2500 0.2408 0.8361
Tl 0.2500 0.2483 0.5206
Tl 0.7500 0.7517 0.4794
Tl 0.7500 0.2517 0.0206
Tl 0.2500 0.7483 0.9794

Crystal system: orthorhombic
V in Å³/atom: 29.41

What should be chosen as the most stable of them? Choose b.

--- a ---
First-principles (GGA-PBE) data for crystalline TmCuSnTe3 at its relaxed geometry, as listed in the Open Quantum Materials Database.

Lattice parameters (Å, degrees): 12.2777 4.3569 12.3010 90.00 90.00 90.00
Atoms (fractional coordinates):
Te 0.3129 0.5000 0.7180
Te 0.5618 0.5000 0.9010
Te 0.8129 0.0000 0.7820
Te 0.8679 0.5000 0.0320
Te 0.1871 0.5000 0.2180
Te 0.0618 0.0000 0.5990
Te 0.1321 0.0000 0.9680
Te 0.6321 0.5000 0.5320
Te 0.3679 0.0000 0.4680
Te 0.4382 0.0000 0.0990
Te 0.9382 0.5000 0.4010
Te 0.6871 0.0000 0.2820
Tm 0.1905 0.5000 0.4697
Tm 0.8095 0.0000 0.5303
Tm 0.3095 0.5000 0.9697
Tm 0.6905 0.0000 0.0303
Cu 0.7001 0.5000 0.7325
Cu 0.2001 0.0000 0.7675
Cu 0.7999 0.5000 0.2325
Cu 0.2999 0.0000 0.2675
Sn 0.4738 0.5000 0.3009
Sn 0.9738 0.0000 0.1991
Sn 0.5262 0.0000 0.6991
Sn 0.0262 0.5000 0.8009

Crystal system: orthorhombic
V in Å³/atom: 27.42

--- b ---
First-principles (GGA-PBE) data for crystalline TmCuSnTe3 at its relaxed geometry, as listed in the Open Quantum Materials Database.

Lattice parameters (Å, degrees): 8.2212 4.2302 10.5063 90.00 106.12 90.00
Atoms (fractional coordinates):
Te 0.9574 0.7500 0.1723
Te 0.7373 0.2500 0.4618
Te 0.2627 0.7500 0.5382
Te 0.5791 0.2500 0.8637
Te 0.4209 0.7500 0.1363
Te 0.0426 0.2500 0.8277
Tm 0.6971 0.2500 0.1692
Tm 0.3029 0.7500 0.8308
Sn 0.7421 0.7500 0.6978
Sn 0.2579 0.2500 0.3021
Cu 0.9233 0.7500 0.4173
Cu 0.0767 0.2500 0.5827

Crystal system: monoclinic
V in Å³/atom: 29.25

What should be chosen as the most stable of them? Choose b.

--- a ---
First-principles (GGA-PBE) data for crystalline TmCuSnTe3 at its relaxed geometry, as listed in the Open Quantum Materials Database.

Lattice parameters (Å, degrees): 8.9022 4.4262 17.1458 90.00 90.00 90.00
Atoms (fractional coordinates):
Te 0.3106 0.7500 0.2168
Te 0.9813 0.7500 0.9059
Te 0.6173 0.7500 0.0601
Te 0.3827 0.2500 0.9399
Te 0.1894 0.2500 0.7168
Te 0.1173 0.7500 0.4399
Te 0.8106 0.7500 0.2832
Te 0.4813 0.7500 0.5941
Te 0.5187 0.2500 0.4059
Te 0.0187 0.2500 0.0941
Te 0.6894 0.2500 0.7832
Te 0.8827 0.2500 0.5601
Cu 0.1260 0.2500 0.8697
Cu 0.8740 0.7500 0.1303
Cu 0.6260 0.2500 0.6303
Cu 0.3740 0.7500 0.3697
Tm 0.7501 0.2500 0.9624
Tm 0.7499 0.7500 0.4624
Tm 0.2501 0.2500 0.5376
Tm 0.2499 0.7500 0.0376
Sn 0.4181 0.7500 0.7718
Sn 0.9181 0.7500 0.7282
Sn 0.0819 0.2500 0.2718
Sn 0.5819 0.2500 0.2282

Crystal system: orthorhombic
V in Å³/atom: 28.15

--- b ---
First-principles (GGA-PBE) data for crystalline TmCuSnTe3 at its relaxed geometry, as listed in the Open Quantum Materials Database.

Lattice parameters (Å, degrees): 7.5272 7.5272 11.0375 90.00 90.00 32.64
Atoms (fractional coordinates):
Sn 0.7648 0.7648 0.2500
Sn 0.2352 0.2352 0.7500
Te 0.3554 0.3554 0.4370
Te 0.3554 0.3554 0.0630
Te 0.0851 0.0851 0.2500
Te 0.6446 0.6446 0.9370
Te 0.9149 0.9149 0.7500
Te 0.6446 0.6446 0.5630
Tm 0.0000 0.0000 0.0000
Tm 0.0000 0.0000 0.5000
Cu 0.4703 0.4703 0.2500
Cu 0.5297 0.5297 0.7500

Crystal system: orthorhombic
V in Å³/atom: 28.11

What should be chosen as the most stable of them? Choose b.

--- a ---
First-principles (GGA-PBE) data for crystalline YCuSnTe3 at its relaxed geometry, as listed in the Open Quantum Materials Database.

Lattice parameters (Å, degrees): 11.1847 4.2561 14.4122 90.00 90.00 90.00
Atoms (fractional coordinates):
Sn 0.2171 0.2500 0.4904
Sn 0.7171 0.2500 0.0096
Sn 0.7829 0.7500 0.5095
Sn 0.2829 0.7500 0.9904
Te 0.5875 0.2500 0.5977
Te 0.7340 0.2500 0.3358
Te 0.4535 0.2500 0.8900
Te 0.2660 0.7500 0.6642
Te 0.4125 0.7500 0.4023
Te 0.0465 0.7500 0.3900
Te 0.5465 0.7500 0.1100
Te 0.9125 0.7500 0.0977
Te 0.2340 0.2500 0.1642
Te 0.7660 0.7500 0.8358
Te 0.9535 0.2500 0.6100
Te 0.0875 0.2500 0.9023
Cu 0.7592 0.2500 0.7213
Cu 0.7408 0.7500 0.2213
Cu 0.2592 0.2500 0.7787
Cu 0.2408 0.7500 0.2787
Y 0.0217 0.7500 0.7585
Y 0.9783 0.2500 0.2415
Y 0.5217 0.7500 0.7415
Y 0.4783 0.2500 0.2585

Crystal system: orthorhombic
V in Å³/atom: 28.59

--- b ---
First-principles (GGA-PBE) data for crystalline YCuSnTe3 at its relaxed geometry, as listed in the Open Quantum Materials Database.

Lattice parameters (Å, degrees): 10.1533 10.1533 8.5545 102.39 102.39 24.32
Atoms (fractional coordinates):
Te 0.5000 0.5000 0.5000
Te 0.0000 0.0000 0.0000
Te 0.6774 0.6774 0.3401
Te 0.3210 0.3210 0.1601
Te 0.3226 0.3226 0.6599
Te 0.6790 0.6790 0.8399
Sn 0.1198 0.1198 0.5652
Sn 0.8802 0.8802 0.4348
Y 0.1588 0.1588 0.0817
Y 0.8412 0.8412 0.9183
Cu 0.5460 0.5460 0.2074
Cu 0.4540 0.4540 0.7926

Crystal system: monoclinic
V in Å³/atom: 29.53

What should be chosen as the most stable of them? Choose a.

--- a ---
First-principles (GGA-PBE) data for crystalline YCuSnTe3 at its relaxed geometry, as listed in the Open Quantum Materials Database.

Lattice parameters (Å, degrees): 8.3139 4.2544 10.4568 90.00 105.11 90.00
Atoms (fractional coordinates):
Y 0.7960 0.7500 0.8294
Y 0.2040 0.2500 0.1706
Cu 0.5760 0.2500 0.5871
Cu 0.4240 0.7500 0.4129
Te 0.2444 0.2500 0.4660
Te 0.4634 0.7500 0.1678
Te 0.9259 0.7500 0.1395
Te 0.7556 0.7500 0.5340
Te 0.5366 0.2500 0.8322
Te 0.0741 0.2500 0.8605
Sn 0.7585 0.2500 0.2980
Sn 0.2415 0.7500 0.7020

Crystal system: monoclinic
V in Å³/atom: 29.76

--- b ---
First-principles (GGA-PBE) data for crystalline YCuSnTe3 at its relaxed geometry, as listed in the Open Quantum Materials Database.

Lattice parameters (Å, degrees): 8.8937 4.4368 17.2513 90.00 90.00 90.00
Atoms (fractional coordinates):
Cu 0.3746 0.2500 0.8711
Cu 0.1254 0.7500 0.3711
Cu 0.8746 0.2500 0.6289
Cu 0.6254 0.7500 0.1289
Te 0.1890 0.7500 0.2186
Te 0.3110 0.2500 0.7186
Te 0.1143 0.2500 0.9372
Te 0.8110 0.2500 0.7814
Te 0.8857 0.7500 0.0628
Te 0.0191 0.7500 0.5967
Te 0.5191 0.7500 0.9033
Te 0.6143 0.2500 0.5628
Te 0.4809 0.2500 0.0967
Te 0.3857 0.7500 0.4372
Te 0.9809 0.2500 0.4033
Te 0.6890 0.7500 0.2814
Sn 0.5811 0.7500 0.7249
Sn 0.9189 0.2500 0.2249
Sn 0.4189 0.2500 0.2751
Sn 0.0811 0.7500 0.7751
Y 0.2500 0.2500 0.5373
Y 0.2500 0.7500 0.0373
Y 0.7500 0.7500 0.4627
Y 0.7500 0.2500 0.9627

Crystal system: orthorhombic
V in Å³/atom: 28.36

--- c ---
First-principles (GGA-PBE) data for crystalline YCuSnTe3 at its relaxed geometry, as listed in the Open Quantum Materials Database.

Lattice parameters (Å, degrees): 12.3480 4.3778 12.3488 90.00 90.00 90.00
Atoms (fractional coordinates):
Y 0.1916 0.5000 0.4684
Y 0.6916 0.0000 0.0316
Y 0.3084 0.5000 0.9684
Y 0.8084 0.0000 0.5316
Te 0.3123 0.5000 0.7151
Te 0.6294 0.5000 0.5347
Te 0.4388 0.0000 0.1008
Te 0.9388 0.5000 0.3992
Te 0.8706 0.5000 0.0347
Te 0.0612 0.0000 0.6008
Te 0.1876 0.5000 0.2151
Te 0.6876 0.0000 0.2849
Te 0.3706 0.0000 0.4653
Te 0.8124 0.0000 0.7849
Te 0.1294 0.0000 0.9653
Te 0.5612 0.5000 0.8992
Cu 0.7029 0.5000 0.7319
Cu 0.2971 0.0000 0.2681
Cu 0.7971 0.5000 0.2319
Cu 0.2029 0.0000 0.7681
Sn 0.0292 0.5000 0.7978
Sn 0.4708 0.5000 0.2978
Sn 0.5292 0.0000 0.7022
Sn 0.9708 0.0000 0.2022

Crystal system: orthorhombic
V in Å³/atom: 27.81

--- d ---
First-principles (GGA-PBE) data for crystalline YCuSnTe3 at its relaxed geometry, as listed in the Open Quantum Materials Database.

Lattice parameters (Å, degrees): 14.5107 4.2614 11.5919 90.00 90.00 90.00
Atoms (fractional coordinates):
Y 0.5091 0.7500 0.1736
Y 0.9909 0.2500 0.6736
Y 0.0091 0.7500 0.3264
Y 0.4909 0.2500 0.8264
Sn 0.7135 0.7500 0.4512
Sn 0.7865 0.2500 0.9512
Sn 0.2135 0.7500 0.0488
Sn 0.2865 0.2500 0.5488
Cu 0.9928 0.7500 0.9182
Cu 0.5072 0.2500 0.4182
Cu 0.0072 0.2500 0.0818
Cu 0.4928 0.7500 0.5818
Te 0.6093 0.2500 0.6119
Te 0.1154 0.7500 0.5589
Te 0.8549 0.7500 0.7598
Te 0.6154 0.7500 0.9411
Te 0.6451 0.2500 0.2598
Te 0.3846 0.2500 0.0589
Te 0.1451 0.2500 0.2402
Te 0.3549 0.7500 0.7402
Te 0.1093 0.2500 0.8881
Te 0.3907 0.7500 0.3881
Te 0.8846 0.2500 0.4411
Te 0.8907 0.7500 0.1119

Crystal system: orthorhombic
V in Å³/atom: 29.87

What should be chosen as the most stable of them? Choose d.